Compound: Pm4NdN4
Source: the Alexandria database
Functional: PBE
Structure: optimized geometry

Results
Energy above the most stable polymorph in this dataset ... 588 meV/atom
Formation energy from raw total energies ... -678 meV/atom

Cell and atoms, written as CIF:
```
data_Pm4NdN4
_chemical_formula_sum 'Pm8 Nd2 N8'
_symmetry_space_group_name_H-M 'I -4 2 m'
_symmetry_Int_Tables_number 121
_symmetry_space_group_name_Hall 'I -4 2'
_cell_length_a 5.9421
_cell_length_b 5.9421
_cell_length_c 11.0694
_cell_angle_alpha 90.00
_cell_angle_beta 90.00
_cell_angle_gamma 90.00
loop_
_atom_site_label
_atom_site_type_symbol
_atom_site_fract_x
_atom_site_fract_y
_atom_site_fract_z
_atom_site_occupancy
Pm1 Pm 0.0000 0.0000 0.2128 1
Pm2 Pm 0.0000 0.5000 0.0000 1
Nd1 Nd 0.0000 0.0000 0.5000 1
N1 N 0.2417 0.2417 0.6185 1
```

Compound: PmNd2N
Source: the Alexandria database
Functional: PBE
Structure: optimized geometry

Results
Energy above the most stable polymorph in this dataset ... 448 meV/atom
Formation energy from raw total energies ... -112 meV/atom

Cell and atoms, written as CIF:
```
data_PmNd2N
_chemical_formula_sum 'Pm1 Nd2 N1'
_symmetry_space_group_name_H-M 'P 4/m m m'
_symmetry_Int_Tables_number 123
_symmetry_space_group_name_Hall '-P 4 2'
_cell_length_a 3.2679
_cell_length_b 3.2679
_cell_length_c 9.2267
_cell_angle_alpha 90.00
_cell_angle_beta 90.00
_cell_angle_gamma 90.00
loop_
_atom_site_label
_atom_site_type_symbol
_atom_site_fract_x
_atom_site_fract_y
_atom_site_fract_z
_atom_site_occupancy
Pm1 Pm 0.0000 0.0000 0.0000 1
Nd1 Nd 0.5000 0.5000 0.3399 1
N1 N 0.0000 0.0000 0.5000 1
```

Compound: Pm2NdN2
Source: the Alexandria database
Functional: PBE
Structure: optimized geometry

Results
Formation energy from raw total energies ... -1103 meV/atom

Cell and atoms, written as CIF:
```
data_Pm2NdN2
_chemical_formula_sum 'Pm4 Nd2 N4'
_symmetry_space_group_name_H-M 'I m m m'
_symmetry_Int_Tables_number 71
_symmetry_space_group_name_Hall '-I 2 2'
_cell_length_a 3.6141
_cell_length_b 5.1591
_cell_length_c 11.1235
_cell_angle_alpha 90.00
_cell_angle_beta 90.00
_cell_angle_gamma 90.00
loop_
_atom_site_label
_atom_site_type_symbol
_atom_site_fract_x
_atom_site_fract_y
_atom_site_fract_z
_atom_site_occupancy
Pm1 Pm 0.0000 0.0000 0.1816 1
Nd1 Nd 0.0000 0.0000 0.5000 1
N1 N 0.0000 0.5000 0.1716 1
```

Compound: PmNd3N4
Source: the Alexandria database
Functional: PBE
Structure: optimized geometry

Results
Formation energy from raw total energies ... -1377 meV/atom

Cell and atoms, written as CIF:
```
data_PmNd3N4
_chemical_formula_sum 'Pm1 Nd3 N4'
_symmetry_space_group_name_H-M 'P m -3 m'
_symmetry_Int_Tables_number 221
_symmetry_space_group_name_Hall '-P 4 2 3'
_cell_length_a 5.1520
_cell_length_b 5.1520
_cell_length_c 5.1520
_cell_angle_alpha 90.00
_cell_angle_beta 90.00
_cell_angle_gamma 90.00
loop_
_atom_site_label
_atom_site_type_symbol
_atom_site_fract_x
_atom_site_fract_y
_atom_site_fract_z
_atom_site_occupancy
Pm1 Pm 0.0000 0.0000 0.0000 1
Nd1 Nd 0.0000 0.5000 0.5000 1
N1 N 0.0000 0.0000 0.5000 1
N2 N 0.5000 0.5000 0.5000 1
```